Entry from Alexandria: TcMoF3 after structural relaxation (PBE+U).

Its total energy is -26.52 eV/f.u.

abc: 4.3691 4.3691 4.3691
angles: 90.00 90.00 90.00
Fractional positions:
Tc (0.0000, 0.0000, 0.0000)
Mo (0.5000, 0.5000, 0.5000)
F (0.0000, 0.0000, 0.5000)
F (0.0000, 0.5000, 0.0000)
F (0.5000, 0.0000, 0.0000)